Crystalline LaMnPb at its relaxed geometry, computed with GGA-PBE.

Cell: 4.903 4.903 4.903 Å, 60.00 60.00 60.00°
Each line ends with the local moment (μB).
Atoms (fractional coordinates):
Mn 0.750 0.750 0.750  3.52
La 0.500 0.500 0.500  0.09
Pb 0.000 0.000 0.000  -0.02

E_tot: -17.8 eV per formula unit
DOS at the Fermi energy: 1.385 states/eV per atom

Crystalline Ga2ClO at its relaxed geometry, computed with GGA-PBE.

Cell: 6.519 6.519 5.874 Å, 56.29 56.29 90.00°
Atoms (fractional coordinates):
Ga 0.375 0.461 0.750
Cl 0.000 0.000 0.000
Cl 0.750 0.250 0.500
Ga 0.875 0.789 0.750
O 0.500 0.500 0.000
O 0.250 0.750 0.500
Ga 0.539 0.125 0.250
Ga 0.211 0.625 0.250

excess energy over the best structure of this formula in the dataset: 0.000 eV/atom
ΔE_f (raw): -0.64 eV/atom
DOS at the Fermi energy: 0.519 states/eV per atom

Crystalline ZrHg2Pb at its relaxed geometry, computed with GGA-PBE.

Cell: 4.692 4.692 6.233 Å, 67.89 67.89 60.00°
Atoms (fractional coordinates):
Pb 0.489 0.489 0.534
Zr 0.678 0.678 0.965
Hg 0.068 0.068 0.795
Hg 0.265 0.265 0.206

E_tot: -12.4 eV per formula unit
DOS at the Fermi energy: 0.482 states/eV per atom

Crystalline AcBiAs2Pd4 at its relaxed geometry, computed with GGA-PBE.

Cell: 4.566 4.566 8.208 Å, 90.00 90.00 90.00°
Atoms (fractional coordinates):
Pd 0.500 0.000 0.203
Pd 0.500 0.000 0.797
Ac 0.000 0.000 0.500
Pd 0.000 0.500 0.203
Bi 0.000 0.000 0.000
As 0.500 0.500 0.340
As 0.500 0.500 0.660
Pd 0.000 0.500 0.797

E_tot: -42.9 eV per formula unit
DOS at the Fermi energy: 0.505 states/eV per atom

Crystalline RbCeFeS3 at its relaxed geometry, computed with GGA-PBE.

Cell: 4.032 9.204 9.425 Å, 108.51 90.00 90.00°
Each line ends with the local moment (μB).
Atoms (fractional coordinates):
Rb 0.250 0.200 0.233  0.00
S 0.250 0.814 0.471  0.13
S 0.750 0.186 0.529  0.13
Ce 0.250 0.673 0.163  -0.47
S 0.750 0.877 0.153  0.07
Fe 0.250 0.074 0.592  3.01
Ce 0.750 0.327 0.837  -0.47
Fe 0.750 0.926 0.408  3.01
S 0.250 0.540 0.849  0.02
S 0.750 0.460 0.151  0.02
S 0.250 0.123 0.847  0.07
Rb 0.750 0.800 0.767  0.00

ΔE_f (raw): -1.32 eV/atom
DOS at the Fermi energy: 0.892 states/eV per atom

Crystalline Er2Ag2GeO6 at its relaxed geometry, computed with GGA-PBE.

Cell: 5.748 5.748 6.368 Å, 85.45 85.45 121.01°
Atoms (fractional coordinates):
O 0.685 0.685 0.648
Ag 0.848 0.152 0.000
O 0.039 0.737 0.332
O 0.961 0.263 0.668
Ge 0.000 0.000 0.500
O 0.263 0.961 0.668
Er 0.663 0.337 0.500
Er 0.337 0.663 0.500
Ag 0.152 0.848 0.000
O 0.737 0.039 0.332
O 0.315 0.315 0.352

ΔE_f (raw): -2.03 eV/atom
DOS at the Fermi energy: 0.000 states/eV per atom

Crystalline RbCr at its relaxed geometry, computed with GGA-PBE.

Cell: 7.596 7.596 7.596 Å, 90.00 90.00 90.00°
Each line ends with the local moment (μB).
Atoms (fractional coordinates):
Rb 0.000 0.500 0.000  0.01
Rb 0.500 0.000 0.000  0.01
Cr 0.000 0.000 0.000  4.29
Cr 0.500 0.500 0.000  4.29
Rb 0.500 0.500 0.500  0.01
Rb 0.000 0.000 0.500  0.01
Cr 0.500 0.000 0.500  4.29
Cr 0.000 0.500 0.500  4.29

excess energy over the best structure of this formula in the dataset: 0.623 eV/atom
DOS at the Fermi energy: 0.406 states/eV per atom

Crystalline LiLaP4O12 at its relaxed geometry, computed with GGA-PBE.

Cell: 9.151 9.151 10.040 Å, 56.75 56.75 46.50°
Atoms (fractional coordinates):
O 0.666 0.845 0.147
P 0.190 0.513 0.200
P 0.513 0.190 0.700
Li 0.200 0.800 0.250
La 0.300 0.700 0.750
O 0.077 0.060 0.069
P 0.803 0.919 0.113
O 0.671 0.102 0.179
O 0.678 0.474 0.767
O 0.940 0.923 0.431
O 0.957 0.722 0.229
O 0.155 0.334 0.353
P 0.810 0.487 0.800
P 0.197 0.081 0.887
O 0.513 0.743 0.464
O 0.322 0.526 0.233
O 0.060 0.077 0.569
O 0.257 0.487 0.036
O 0.278 0.043 0.271
O 0.743 0.513 0.964
O 0.102 0.671 0.679
O 0.923 0.940 0.931
P 0.487 0.810 0.300
O 0.898 0.329 0.321
O 0.334 0.155 0.853
O 0.474 0.678 0.267
O 0.329 0.898 0.821
O 0.845 0.666 0.647
O 0.722 0.957 0.729
O 0.487 0.257 0.536
Li 0.800 0.200 0.750
O 0.043 0.278 0.771
La 0.700 0.300 0.250
O 0.526 0.322 0.733
P 0.919 0.803 0.613
P 0.081 0.197 0.387

ΔE_f (raw): -2.48 eV/atom
DOS at the Fermi energy: 0.000 states/eV per atom

Crystalline RbPaZnS4 at its relaxed geometry, computed with GGA-PBE.

Cell: 7.819 7.819 8.148 Å, 90.00 90.00 109.80°
Atoms (fractional coordinates):
Pa 0.874 0.126 0.250
Zn 0.867 0.133 0.750
S 0.765 0.235 0.511
S 0.235 0.765 0.011
Zn 0.133 0.867 0.250
S 0.809 0.788 0.250
S 0.235 0.765 0.489
S 0.212 0.191 0.250
S 0.191 0.212 0.750
Rb 0.500 0.500 0.000
S 0.788 0.809 0.750
Pa 0.126 0.874 0.750
Rb 0.500 0.500 0.500
S 0.765 0.235 0.989

ΔE_f (raw): -1.06 eV/atom

Crystalline Pr3AlRh2 at its relaxed geometry, computed with GGA-PBE.

Cell: 3.953 12.454 12.462 Å, 90.00 90.00 90.00°
Atoms (fractional coordinates):
Pr 0.750 0.179 0.309
Rh 0.750 0.512 0.203
Pr 0.750 0.623 0.930
Rh 0.250 0.695 0.482
Al 0.750 0.870 0.877
Pr 0.250 0.821 0.691
Pr 0.750 0.321 0.809
Al 0.250 0.130 0.123
Pr 0.250 0.679 0.191
Pr 0.750 0.928 0.127
Al 0.250 0.370 0.623
Pr 0.250 0.428 0.373
Al 0.750 0.630 0.377
Rh 0.750 0.305 0.518
Pr 0.750 0.572 0.627
Rh 0.750 0.195 0.018
Rh 0.250 0.012 0.297
Pr 0.250 0.123 0.570
Pr 0.250 0.377 0.070
Rh 0.750 0.988 0.703
Pr 0.250 0.072 0.873
Rh 0.250 0.805 0.982
Rh 0.250 0.488 0.797
Pr 0.750 0.877 0.430

E_tot: -36.3 eV per formula unit
DOS at the Fermi energy: 0.719 states/eV per atom